Record 1
TlC GGA-PBE optimized geometry; electronic total energy = -19.35 eV per cell; calculated formation energy = 0.958 eV per atom; space group = No. 12
1.0
-3.344 -1.717 -6.598
-5.072 -3.794 -4.190
-2.094 2.990 1.076
C Tl
2 2
Direct
0.910 0.910 0.332
0.840 0.840 0.085
0.248 0.248 0.665
0.502 0.502 0.752



Record 2
TiMo2Se2 GGA-PBE optimized geometry; electronic total energy = -35.24 eV per cell; space group = No. 139; raw formation energy = 0.2573 eV per atom
1.0
-0.310 -3.423 1.077
2.849 0.422 2.163
-2.997 0.530 6.842
Se Mo Ti
2 2 1
Direct
0.398 0.398 0.205
0.602 0.602 0.795
0.250 0.750 0.500
0.750 0.250 0.500
0.000 0.000 0.000